## TiSbPdI2 (meta-GGA SCAN)

Data for a crystal of TiSbPdI2 relaxed with PBEsol.

Calculated values
The calculation puts the uncorrected formation energy at 0.463 eV/atom. As for the magnetization: 1.4 Bohr magnetons per cell. Its volume is 29.19 Å³/atom. As for the total energy: -31.45 eV/atom.

abc: 5.2921 5.2921 5.2114
angles: 90.00 90.00 90.00
Space group P4/mmm (No. 123)
Asymmetric unit:
Ti (0.0000, 0.0000, 0.0000)
Sb (0.5000, 0.5000, 0.0000)
Pd (0.5000, 0.5000, 0.5000)
I (0.0000, 0.5000, 0.5000)